1.
# InAu

A relaxed structure of InAu (PBE, Alexandria).

Cell and atoms, written as POSCAR:
```
InAu
1.0
-4.478 -3.230 -0.669
-1.625 -4.896 -2.079
-1.063 -6.069 5.022
Au In
3 3
Direct
0.056 0.056 0.023 Au
0.319 0.319 0.329 Au
0.350 0.350 0.706 Au
0.631 0.631 0.678 In
0.026 0.026 0.397 In
0.785 0.785 0.033 In
```

Computed properties:
The density of states at the Fermi level comes out at 1.76 states/eV/cell. The space-group type is Cm, No. 8. As for the energy relative to the elements: -0.17 eV/atom. As for the crystal system: monoclinic. The total energy comes out at -19.1 eV/cell.



2.
# Na2TlSeBr

A relaxed structure of Na2TlSeBr (PBE, Alexandria).

Cell and atoms, written as POSCAR:
```
Na2TlSeBr
1.0
5.420 0.000 0.000
0.000 5.420 0.000
0.000 0.000 6.298
Na Tl Se Br
2 1 1 1
Direct
0.000 0.500 0.000 Na
0.500 0.000 0.000 Na
0.000 0.000 0.500 Tl
0.000 0.000 0.000 Se
0.500 0.500 0.500 Br
```

Computed properties:
The space-group type is P4/mmm, No. 123. For the uncorrected formation energy, the calculation gives -0.8408 eV per atom. As for the crystal system: tetragonal. The total energy comes out at -14.4 eV/cell.



3.
# In7Sn2Pb3

A relaxed structure of In7Sn2Pb3 (PBE, Alexandria).

Cell and atoms, written as POSCAR:
```
In7Sn2Pb3
1.0
3.331 0.000 0.000
0.000 6.070 0.771
0.000 2.208 17.301
In Sn Pb
7 2 3
Direct
0.500 0.749 0.502 In
0.500 0.251 0.498 In
0.000 0.581 0.166 In
0.000 0.000 0.000 In
0.000 0.419 0.834 In
0.500 0.924 0.834 In
0.500 0.076 0.166 In
0.500 0.655 0.326 Sn
0.500 0.345 0.674 Sn
0.500 0.500 0.000 Pb
0.000 0.149 0.335 Pb
0.000 0.851 0.665 Pb
```

Computed properties:
The density of states at the Fermi level comes out at 5.29 states/eV/cell. The space-group type is P2/m, No. 10. As for the energy relative to the elements: 0.03 eV/atom. The offset from the most stable computed form comes out at 0.00 eV per formula unit. As for the crystal system: monoclinic. The total energy comes out at -37.9 eV/cell.